This record from Alexandria describes a geometry-optimized PmPaS4 structure. The functional is GGA-PBE.

* ΔE_f (raw): -1688 meV per atom
* volume: 338.67 Å³ per cell
* E above lowest polymorph: 0.00 eV per formula unit

Unit cell a=8.9022 b=9.0665 c=4.1960 alpha=90.00 beta=90.00 gamma=90.00
With the nearest neighbours (Å) after each atom.
Space group Cmmm (No. 65)
Inequivalent atoms, fractional coordinates:
Pm (0.0000, 0.0000, 0.0000) x2  6 S 2.79-2.87
Pa (0.0000, 0.5000, 0.5000) x2  6 S 2.61-2.68
S (0.0000, 0.3164, 0.0000) x4  2 Pa 2.68, 1 Pm 2.87
S (0.2064, 0.0000, 0.5000) x4  1 Pa 2.61, 2 Pm 2.79

***

This record from Alexandria describes a geometry-optimized Cs5Br4F structure. The functional is GGA-PBE.

* ΔE_f (raw): -1930 meV per atom
* density of states at the Fermi level: 0.00 states/eV/atom
* volume: 925.59 Å³ per cell

Unit cell a=11.2211 b=11.2211 c=7.3510 alpha=90.00 beta=90.00 gamma=90.00
With the nearest neighbours (Å) after each atom.
Space group I4 (No. 79)
Inequivalent atoms, fractional coordinates:
Cs (0.0000, 0.0000, 0.0000) x2  1 F 2.87
Cs (0.0888, 0.2716, 0.4400) x8  1 F 3.23, 1 Br 3.58
Br (0.0922, 0.2999, 0.9371) x8  6 Cs 3.55-3.81
F (0.0000, 0.0000, 0.3900) x2  1 Cs 2.87

***

Q: The highest volume belongs to which entry?
A: Cs5Br4F